# Tb3Hf | Alexandria via LeMat-Bulk | PBE | optimized geometry
data_Tb3Hf
_chemical_formula_sum 'Tb6 Hf2'
_cell_length_a 4.871
_cell_length_b 4.871
_cell_length_c 9.683
_cell_angle_alpha 90.00
_cell_angle_beta 90.00
_cell_angle_gamma 90.00
_space_group_name_H-M_alt 'I 4/m m m'
_space_group_IT_number 139
_space_group_name_Hall '-I 4 2'
loop_
_atom_site_label
_atom_site_fract_x
_atom_site_fract_y
_atom_site_fract_z
Tb1 0.000 0.000 0.000
Tb2 0.000 0.500 0.250
Hf1 0.000 0.000 0.500
# Fermi-level density of states: 9.33 states/eV/cell
# Magnetization: 0.000 μB/atom
# E_tot: -5.815 eV/atom
# Formation enthalpy at 0 K: 0.15 eV/atom